This record from the Alexandria database describes TaCuOs2 after structural relaxation. The functional is PBE.

Cell lengths 2.7730, 2.7730, 7.7200 Å; angles 90.00, 90.00, 90.01 degrees
Last column: nearest neighbours and their distance in Å.
Element x y z (fractional)
Cu: 0.5000 0.5000 0.7600  4 Os 2.71, 4 Ta 2.75, 4 Cu 2.77
Os: 0.0000 0.0000 0.0027  8 Os 2.62-2.77, 4 Cu 2.71
Os: 0.5000 0.5000 0.2275  8 Os 2.62-2.77, 4 Ta 2.93
Ta: 0.0000 0.0000 0.5099  4 Cu 2.75, 4 Ta 2.77, 4 Os 2.93

Space-group type: No. 99
ρ: 17.5 Mg/m³
DFT formation energy: 9 kJ/mol of atoms
Energy relative to the lowest polymorph listed for this composition: 0.107 eV per atom
E: -38.06 eV per cell